A plane-wave DFT calculation with PBE+U was carried out for an optimized crystal structure of CrTeN2F.

Cell: 4.462 4.462 4.118 Å, 90.00 90.00 90.00°
Each line ends with the local moment (μB).
Sites, in units of the cell vectors:
Cr: 0.500 0.500 0.500  4.15
N: 0.000 0.500 0.000  -1.28
N: 0.500 0.000 0.000  -1.28
Te: 0.000 0.000 0.500  -0.19
F: 0.000 0.000 0.000  -0.18

Results
The space-group type is No. 123. For the total energy, the calculation gives -20.71 eV/f.u. The value obtained for the calculated volume is 16.4 Å³ per atom. Its density is 4.6 Mg/m³. The energy relative to the lowest polymorph listed for this composition is 1.481 eV/atom.